# Sr2CaAl

An optimized crystal structure of Sr2CaAl (PBE, Alexandria).

```
4
Lattice="-3.341 -0.668 -2.063 1.781 -3.005 -1.914 -3.074 -6.289 7.014" Properties=species:S:1:pos:R:3 pbc="T T T"
Sr -1.363 -2.788 3.109
Al -1.549 -3.409 -0.235
Sr -0.174 -0.357 0.398
Ca -3.086 -6.554 3.272
```

Results
- Uncorrected energy: -0.0856 hartree per atom
- Energy of formation from the pure elements: -0.052 eV per atom
- Total moment: 0.00 μB per cell

# Sr2CaAl

An optimized crystal structure of Sr2CaAl (PBE, Alexandria).

```
4
Lattice="5.444 0.000 0.000 0.000 4.155 0.013 0.000 2.081 7.042" Properties=species:S:1:pos:R:3 pbc="T T T"
Sr 2.722 1.824 2.161
Al 0.000 3.891 3.466
Sr 0.000 5.978 6.835
Ca 2.722 3.899 5.175
```

Results
- Uncorrected energy: -0.0817 hartree per atom
- Energy of formation from the pure elements: 0.053 eV per atom
- Total moment: 0.00 μB per cell

# Sr2CaAl2

An optimized crystal structure of Sr2CaAl2 (PBE, Alexandria).

```
10
Lattice="9.524 0.000 0.000 0.000 9.524 0.000 0.000 0.000 3.604" Properties=species:S:1:pos:R:3 pbc="T T T"
Sr 3.512 8.274 0.000
Al 3.168 1.594 1.802
Sr 8.274 6.012 0.000
Sr 6.012 1.250 0.000
Al 6.356 7.930 1.802
Al 1.594 6.356 1.802
Ca 0.000 0.000 0.000
Sr 1.250 3.512 0.000
Al 7.930 3.168 1.802
Ca 4.762 4.762 0.000
```

Results
- Uncorrected energy: -0.0931 hartree per atom
- Energy of formation from the pure elements: 0.037 eV per atom
- Total moment: 0.00 μB per cell

# Sr2CaTiAl

An optimized crystal structure of Sr2CaTiAl (PBE, Alexandria).

```
5
Lattice="6.033 0.000 0.000 0.000 5.280 0.000 0.000 0.000 6.033" Properties=species:S:1:pos:R:3 pbc="T T T"
Sr 0.000 0.000 3.016
Ca 3.016 2.640 3.016
Ti 0.000 0.000 0.000
Al 0.000 2.640 0.000
Sr 3.016 0.000 0.000
```

Results
- Uncorrected energy: -0.1048 hartree per atom
- Energy of formation from the pure elements: 0.549 eV per atom
- Total moment: 2.85 μB per cell

# SrCa2AlZn

An optimized crystal structure of SrCa2AlZn (PBE, Alexandria).

```
5
Lattice="5.770 0.000 0.000 0.000 5.770 0.000 0.000 0.000 4.947" Properties=species:S:1:pos:R:3 pbc="T T T"
Sr 2.885 2.885 2.473
Zn 0.000 0.000 0.000
Ca 2.885 0.000 0.000
Ca 0.000 2.885 0.000
Al 0.000 0.000 2.473
```

Results
- Uncorrected energy: -0.0785 hartree per atom
- Energy of formation from the pure elements: 0.004 eV per atom
- Total moment: 0.00 μB per cell

# SrCaZrAl2

An optimized crystal structure of SrCaZrAl2 (PBE, Alexandria).

```
5
Lattice="5.618 0.000 0.000 0.000 5.618 0.000 0.000 0.000 5.289" Properties=species:S:1:pos:R:3 pbc="T T T"
Al 2.809 0.000 0.000
Ca 2.809 2.809 2.645
Al 0.000 2.809 0.000
Zr 0.000 0.000 2.645
Sr 0.000 0.000 0.000
```

Results
- Uncorrected energy: -0.1003 hartree per atom
- Energy of formation from the pure elements: 1.213 eV per atom
- Total moment: 1.27 μB per cell

# CaTaAl2

An optimized crystal structure of CaTaAl2 (PBE, Alexandria).

```
4
Lattice="1.799 -0.092 4.451 -1.494 -3.325 3.125 2.951 -3.549 1.324" Properties=species:S:1:pos:R:3 pbc="T T T"
Ca 0.000 0.000 0.000
Al 0.814 -1.741 2.225
Ta 1.628 -3.483 4.450
Al 2.442 -5.224 6.675
```

Results
- Uncorrected energy: -0.1900 hartree per atom
- Energy of formation from the pure elements: 0.166 eV per atom
- Total moment: 0.77 μB per cell

# CaTaAl

An optimized crystal structure of CaTaAl (PBE, Alexandria).

```
3
Lattice="-1.693 -0.862 2.458 -1.137 -0.350 -2.870 3.061 -7.027 -0.355" Properties=species:S:1:pos:R:3 pbc="T T T"
Al 3.000 -6.887 -0.348
Ta 0.786 -5.361 -1.338
Ca -0.495 -3.018 0.565
```

Results
- Uncorrected energy: -0.2031 hartree per atom
- Energy of formation from the pure elements: 0.338 eV per atom
- Total moment: 0.00 μB per cell